No. 1
# NaBe3V | the Alexandria database | PBE | relaxed
# Density of states at the Fermi level, states/eV per cell: 3.4
# ΔE to the lowest computed polymorph, meV/atom: 0
# ΔH_f (0 K), eV per atom: 1.27
data_NaBe3V
_chemical_formula_sum 'Na1 Be3 V1'
_space_group_name_H-M_alt 'P m -3 m'
_space_group_IT_number 221
_space_group_name_Hall '-P 4 2 3'
_cell_length_a 4.5479
_cell_length_b 4.5479
_cell_length_c 4.5479
_cell_angle_alpha 90.00
_cell_angle_beta 90.00
_cell_angle_gamma 90.00
loop_
_atom_site_label
_atom_site_fract_x
_atom_site_fract_y
_atom_site_fract_z
Na1 0.0000 0.0000 0.0000
Be1 0.0000 0.5000 0.5000
V1 0.5000 0.5000 0.5000

***

No. 2
# Mn2C | the Alexandria database | PBE | relaxed
# Density of states at the Fermi level, states/eV per cell: 4.2
# ΔH_f (0 K), eV per atom: 0.61
data_Mn2C
_chemical_formula_sum 'Mn4 C2'
_space_group_name_H-M_alt 'P 63/m m c'
_space_group_IT_number 194
_space_group_name_Hall '-P 6c 2c'
_cell_length_a 3.6571
_cell_length_b 3.6571
_cell_length_c 4.6453
_cell_angle_alpha 90.00
_cell_angle_beta 90.00
_cell_angle_gamma 120.00
loop_
_atom_site_label
_atom_site_fract_x
_atom_site_fract_y
_atom_site_fract_z
Mn1 0.0000 0.0000 0.0000
Mn2 0.3333 0.6667 0.2500
C1 0.3333 0.6667 0.7500

***

No. 3
# NdSn3Ir2 | the Alexandria database | PBE | relaxed
# Density of states at the Fermi level, states/eV per cell: 25.8
# ΔH_f (0 K), eV per atom: -0.24
data_NdSn3Ir2
_chemical_formula_sum 'Nd6 Sn18 Ir12'
_space_group_name_H-M_alt 'R -3 m'
_space_group_IT_number 166
_space_group_name_Hall '-R 3 2"'
_cell_length_a 6.4310
_cell_length_b 6.4310
_cell_length_c 22.1513
_cell_angle_alpha 90.00
_cell_angle_beta 90.00
_cell_angle_gamma 120.00
loop_
_atom_site_label
_atom_site_fract_x
_atom_site_fract_y
_atom_site_fract_z
Nd1 0.0000 0.0000 0.2150
Sn1 0.0014 0.5007 0.2425
Ir1 0.0000 0.0000 0.0000
Ir2 0.0000 0.5000 0.0000

***

No. 4
# Hf2ThAl | the Alexandria database | PBE | relaxed
# Density of states at the Fermi level, states/eV per cell: 5.7
# ΔE to the lowest computed polymorph, meV/atom: 42
# ΔH_f (0 K), eV per atom: -0.05
data_Hf2ThAl
_chemical_formula_sum 'Hf2 Th1 Al1'
_space_group_name_H-M_alt 'P 4/m m m'
_space_group_IT_number 123
_space_group_name_Hall '-P 4 2'
_cell_length_a 3.4905
_cell_length_b 3.4905
_cell_length_c 7.6095
_cell_angle_alpha 90.00
_cell_angle_beta 90.00
_cell_angle_gamma 90.00
loop_
_atom_site_label
_atom_site_fract_x
_atom_site_fract_y
_atom_site_fract_z
Hf1 0.0000 0.0000 0.2073
Th1 0.5000 0.5000 0.5000
Al1 0.5000 0.5000 0.0000

***

No. 5
# Ca4InSe | the Alexandria database | PBE | relaxed
# Density of states at the Fermi level, states/eV per cell: 29.8
# Formation energy (no corrections), meV per atom: 48
data_Ca4InSe
_chemical_formula_sum 'Ca16 In4 Se4'
_space_group_name_H-M_alt 'F -4 3 m'
_space_group_IT_number 216
_space_group_name_Hall 'F -4 2 3'
_cell_length_a 9.3173
_cell_length_b 9.3173
_cell_length_c 9.3173
_cell_angle_alpha 90.00
_cell_angle_beta 90.00
_cell_angle_gamma 90.00
loop_
_atom_site_label
_atom_site_fract_x
_atom_site_fract_y
_atom_site_fract_z
Ca1 0.1249 0.1249 0.1249
In1 0.2500 0.2500 0.7500
Se1 0.0000 0.0000 0.5000

***

No. 6
# Y2CdGe3Pd4 | the Alexandria database | PBE | relaxed
# Density of states at the Fermi level, states/eV per cell: 5.4
# ΔH_f (0 K), eV per atom: -0.72
data_Y2CdGe3Pd4
_chemical_formula_sum 'Y2 Cd1 Ge3 Pd4'
_space_group_name_H-M_alt 'P -4 m 2'
_space_group_IT_number 115
_space_group_name_Hall 'P -4 -2'
_cell_length_a 4.1631
_cell_length_b 4.1631
_cell_length_c 11.1237
_cell_angle_alpha 90.00
_cell_angle_beta 90.00
_cell_angle_gamma 90.00
loop_
_atom_site_label
_atom_site_fract_x
_atom_site_fract_y
_atom_site_fract_z
Y1 0.0000 0.5000 0.2397
Cd1 0.0000 0.0000 0.5000
Ge1 0.0000 0.5000 0.8711
Ge2 0.5000 0.5000 0.5000
Pd1 0.0000 0.0000 0.0000
Pd2 0.0000 0.5000 0.6544
Pd3 0.5000 0.5000 0.0000

***

No. 7
# NaCaNF2 | the Alexandria database | PBE | relaxed
# Density of states at the Fermi level, states/eV per cell: 1.4
# ΔE to the lowest computed polymorph, meV/atom: 0
# Formation energy (no corrections), meV per atom: -1605
data_NaCaNF2
_chemical_formula_sum 'Na1 Ca1 N1 F2'
_space_group_name_H-M_alt 'P 4/m m m'
_space_group_IT_number 123
_space_group_name_Hall '-P 4 2'
_cell_length_a 4.4350
_cell_length_b 4.4350
_cell_length_c 4.8877
_cell_angle_alpha 90.00
_cell_angle_beta 90.00
_cell_angle_gamma 90.00
loop_
_atom_site_label
_atom_site_fract_x
_atom_site_fract_y
_atom_site_fract_z
Na1 0.0000 0.0000 0.0000
Ca1 0.5000 0.5000 0.5000
N1 0.5000 0.5000 0.0000
F1 0.0000 0.5000 0.5000

***

No. 8
# Ta2MnCl | the Alexandria database | PBE | relaxed
# Density of states at the Fermi level, states/eV per cell: 6.7
# ΔE to the lowest computed polymorph, meV/atom: 517
# Formation energy (no corrections), meV per atom: 468
data_Ta2MnCl
_chemical_formula_sum 'Ta4 Mn2 Cl2'
_space_group_name_H-M_alt 'C 1 2/m 1'
_space_group_IT_number 12
_space_group_name_Hall '-C 2y'
_cell_length_a 6.0859
_cell_length_b 7.2781
_cell_length_c 2.9385
_cell_angle_alpha 90.00
_cell_angle_beta 105.20
_cell_angle_gamma 90.00
loop_
_atom_site_label
_atom_site_fract_x
_atom_site_fract_y
_atom_site_fract_z
Ta1 0.2500 0.2500 0.0000
Mn1 0.0000 0.0000 0.5000
Cl1 0.0000 0.5000 0.5000

***

No. 9
# LaHgSbI2 | the Alexandria database | PBE | relaxed
# Density of states at the Fermi level, states/eV per cell: 1.1
# ΔE to the lowest computed polymorph, meV/atom: 0
# Formation energy (no corrections), meV per atom: -512
data_LaHgSbI2
_chemical_formula_sum 'La1 Hg1 Sb1 I2'
_space_group_name_H-M_alt 'P 4/m m m'
_space_group_IT_number 123
_space_group_name_Hall '-P 4 2'
_cell_length_a 6.3133
_cell_length_b 6.3133
_cell_length_c 6.5343
_cell_angle_alpha 90.00
_cell_angle_beta 90.00
_cell_angle_gamma 90.00
loop_
_atom_site_label
_atom_site_fract_x
_atom_site_fract_y
_atom_site_fract_z
La1 0.0000 0.0000 0.0000
Hg1 0.5000 0.5000 0.5000
Sb1 0.0000 0.0000 0.5000
I1 0.0000 0.5000 0.0000

***

No. 10
# AlSbRh4 | the Alexandria database | PBE | relaxed
# Density of states at the Fermi level, states/eV per cell: 17.2
# Formation energy (no corrections), meV per atom: 27
data_AlSbRh4
_chemical_formula_sum 'Al4 Sb4 Rh16'
_space_group_name_H-M_alt 'F -4 3 m'
_space_group_IT_number 216
_space_group_name_Hall 'F -4 2 3'
_cell_length_a 7.3609
_cell_length_b 7.3609
_cell_length_c 7.3609
_cell_angle_alpha 90.00
_cell_angle_beta 90.00
_cell_angle_gamma 90.00
loop_
_atom_site_label
_atom_site_fract_x
_atom_site_fract_y
_atom_site_fract_z
Al1 0.0000 0.0000 0.0000
Sb1 0.2500 0.2500 0.7500
Rh1 0.1252 0.1252 0.3748

***

No. 11
# Sm8GeTe4P3 | the Alexandria database | PBE | relaxed
# Density of states at the Fermi level, states/eV per cell: 15.7
# Formation energy (no corrections), meV per atom: -1488
data_Sm8GeTe4P3
_chemical_formula_sum 'Sm24 Ge3 Te12 P9'
_space_group_name_H-M_alt 'R -3 m'
_space_group_IT_number 166
_space_group_name_Hall '-R 3 2"'
_cell_length_a 8.4799
_cell_length_b 8.4799
_cell_length_c 21.6485
_cell_angle_alpha 90.00
_cell_angle_beta 90.00
_cell_angle_gamma 120.00
loop_
_atom_site_label
_atom_site_fract_x
_atom_site_fract_y
_atom_site_fract_z
Sm1 0.0000 0.0000 0.2376
Sm2 0.0026 0.5013 0.7611
Ge1 0.0000 0.0000 0.5000
Te1 0.0000 0.0000 0.0000
Te2 0.0000 0.5000 0.0000
P1 0.0000 0.5000 0.5000

***

No. 12
# Ti2GaH | the Alexandria database | PBE | relaxed
# Density of states at the Fermi level, states/eV per cell: 10.2
# ΔE to the lowest computed polymorph, meV/atom: 114
data_Ti2GaH
_chemical_formula_sum 'Ti6 Ga3 H3'
_space_group_name_H-M_alt 'R -3 m'
_space_group_IT_number 166
_space_group_name_Hall '-R 3 2"'
_cell_length_a 2.9435
_cell_length_b 2.9435
_cell_length_c 20.6017
_cell_angle_alpha 90.00
_cell_angle_beta 90.00
_cell_angle_gamma 120.00
loop_
_atom_site_label
_atom_site_fract_x
_atom_site_fract_y
_atom_site_fract_z
Ti1 0.0000 0.0000 0.2256
Ga1 0.0000 0.0000 0.0000
H1 0.0000 0.0000 0.5000

***

Which of these has the highest density of states at the Fermi level?
Ca4InSe

***

What is the density of states at the Fermi level in the eleventh record?
15.7 states/eV per cell

***

density of states at the Fermi level of number 1 (NaBe3V)?
3.4 states/eV per cell

***

Copy entry 8 word for word.
# Ta2MnCl | the Alexandria database | PBE | relaxed
# Density of states at the Fermi level, states/eV per cell: 6.7
# ΔE to the lowest computed polymorph, meV/atom: 517
# Formation energy (no corrections), meV per atom: 468
data_Ta2MnCl
_chemical_formula_sum 'Ta4 Mn2 Cl2'
_space_group_name_H-M_alt 'C 1 2/m 1'
_space_group_IT_number 12
_space_group_name_Hall '-C 2y'
_cell_length_a 6.0859
_cell_length_b 7.2781
_cell_length_c 2.9385
_cell_angle_alpha 90.00
_cell_angle_beta 105.20
_cell_angle_gamma 90.00
loop_
_atom_site_label
_atom_site_fract_x
_atom_site_fract_y
_atom_site_fract_z
Ta1 0.2500 0.2500 0.0000
Mn1 0.0000 0.0000 0.5000
Cl1 0.0000 0.5000 0.5000